First-principles (GGA-PBE) data for an optimized crystal structure of Ca2Te2Au, as listed in Alexandria.

Cell: 8.3923 8.3923 4.1667 Å, 90.00 90.00 90.00°
Sites, in units of the cell vectors:
Ca  0.1499  0.3501  0.0000
Ca  0.3501  0.8501  0.0000
Ca  0.6499  0.1499  0.0000
Ca  0.8501  0.6499  0.0000
Te  0.1595  0.6595  0.5000
Te  0.3405  0.1595  0.5000
Te  0.6595  0.8405  0.5000
Te  0.8405  0.3405  0.5000
Au  0.0000  0.0000  0.0000
Au  0.5000  0.5000  0.0000

As for the spin magnetization: 0.00 μB per formula unit. Its uncorrected formation energy is -0.921 eV per atom. The value obtained for the energy above the most stable polymorph in this dataset is 22 kJ/mol of formula units.

---

First-principles (GGA-PBE) data for an optimized crystal structure of LaDyYAl, as listed in Alexandria.

Cell: 5.4518 5.4518 5.4518 Å, 60.00 60.00 60.00°
Sites, in units of the cell vectors:
La  0.0000  0.0000  0.0000
Dy  0.7500  0.7500  0.7500
Y  0.5000  0.5000  0.5000
Al  0.2500  0.2500  0.2500

As for the formation energy from the elements: -67 meV per atom. As for the spin magnetization: 0.86 μB per formula unit. The value obtained for the energy above the most stable polymorph in this dataset is 49 kJ/mol of formula units.

---

First-principles (GGA-PBE) data for an optimized crystal structure of AgBiAu5, as listed in Alexandria.

Cell: 4.1157 4.1157 8.6663 Å, 90.00 90.00 90.00°
Sites, in units of the cell vectors:
Ag  0.0000  0.0000  0.0000
Bi  0.5000  0.5000  0.5000
Au  0.0000  0.5000  0.2444
Au  0.0000  0.5000  0.7556
Au  0.5000  0.0000  0.2444
Au  0.5000  0.0000  0.7556
Au  0.5000  0.5000  0.0000

As for the formation energy from the elements: 16 meV per atom. As for the spin magnetization: 0.00 μB per formula unit.

---

First-principles (GGA-PBE) data for an optimized crystal structure of LiErUSe3, as listed in Alexandria.

Cell: 8.4173 3.9075 8.7639 Å, 90.00 103.73 90.00°
Sites, in units of the cell vectors:
Li  0.0862  0.2500  0.0797
Li  0.9138  0.7500  0.9203
Er  0.3349  0.7500  0.3359
Er  0.6651  0.2500  0.6641
U  0.1775  0.2500  0.7135
U  0.8225  0.7500  0.2865
Se  0.0974  0.2500  0.3646
Se  0.2260  0.7500  0.9924
Se  0.4272  0.7500  0.6731
Se  0.5728  0.2500  0.3269
Se  0.7740  0.2500  0.0076
Se  0.9026  0.7500  0.6354

As for the spin magnetization: 3.33 μB per formula unit. Its uncorrected formation energy is -1.313 eV per atom.

---

First-principles (GGA-PBE) data for an optimized crystal structure of CuAgAs4, as listed in Alexandria.

Cell: 5.5254 5.5254 5.5254 Å, 60.00 60.00 60.00°
Sites, in units of the cell vectors:
Cu  0.0000  0.0000  0.0000
Ag  0.7500  0.7500  0.7500
As  0.3740  0.3740  0.3740
As  0.3740  0.3740  0.8779
As  0.3740  0.8779  0.3740
As  0.8779  0.3740  0.3740

As for the formation energy from the elements: 540 meV per atom. As for the spin magnetization: 0.00 μB per formula unit.

---

First-principles (GGA-PBE) data for an optimized crystal structure of La2TcSb, as listed in Alexandria.

Cell: 5.7995 5.7995 5.7995 Å, 49.24 49.24 49.24°
Sites, in units of the cell vectors:
La  0.0000  0.0000  0.0000
La  0.2169  0.2169  0.2169
Tc  0.4440  0.4440  0.4440
Sb  0.7701  0.7701  0.7701

As for the spin magnetization: 0.00 μB per formula unit. Its uncorrected formation energy is -0.342 eV per atom.

---

First-principles (GGA-PBE) data for an optimized crystal structure of AlFe2Si, as listed in Alexandria.

Cell: 3.0497 3.0497 5.2398 Å, 90.00 90.00 90.00°
Sites, in units of the cell vectors:
Al  0.0000  0.0000  0.0000
Fe  0.0000  0.0000  0.5023
Fe  0.5000  0.5000  0.2326
Si  0.5000  0.5000  0.7069

As for the spin magnetization: 3.52 μB per formula unit. Its uncorrected formation energy is -0.265 eV per atom.

---

First-principles (GGA-PBE) data for an optimized crystal structure of Ce5AlRu3, as listed in Alexandria.

Cell: 7.5321 7.5321 9.5590 Å, 107.56 107.56 72.40°
Sites, in units of the cell vectors:
Ce  0.0368  0.0368  0.3436
Ce  0.1334  0.5186  0.3615
Ce  0.2095  0.7905  0.0000
Ce  0.2692  0.2692  0.9488
Ce  0.4814  0.8666  0.6385
Ce  0.5186  0.1334  0.3615
Ce  0.7308  0.7308  0.0512
Ce  0.7905  0.2095  0.0000
Ce  0.8666  0.4814  0.6385
Ce  0.9632  0.9632  0.6564
Al  0.4200  0.4200  0.7092
Al  0.5800  0.5800  0.2908
Ru  0.1666  0.1666  0.1596
Ru  0.1842  0.1842  0.6036
Ru  0.5000  0.5000  0.0000
Ru  0.5000  0.5000  0.5000
Ru  0.8158  0.8158  0.3964
Ru  0.8334  0.8334  0.8404

As for the formation energy from the elements: -214 meV per atom. As for the spin magnetization: 2.68 μB per formula unit.